A relaxed structure of LaPr2ErTe5, computed with GGA-PBE.

Structure (CIF):
```
data_LaPr2ErTe5
_chemical_formula_sum 'La1 Pr2 Er1 Te5'
_space_group_name_H-M_alt 'P 4/m m m'
_space_group_IT_number 123
_space_group_name_Hall '-P 4 2'
_cell_length_a 5.512
_cell_length_b 5.512
_cell_length_c 11.879
_cell_angle_alpha 90.00
_cell_angle_beta 90.00
_cell_angle_gamma 90.00
loop_
_atom_site_label
_atom_site_fract_x
_atom_site_fract_y
_atom_site_fract_z
La1 0.000 0.000 0.000
Pr1 0.500 0.500 0.341
Er1 0.000 0.000 0.500
Te1 0.000 0.000 0.252
Te2 0.000 0.500 0.500
Te3 0.500 0.500 0.000
```

Results
The formation energy from raw total energies is -8.4 eV/f.u.


A relaxed structure of LaPr4Er3Te8, computed with GGA-PBE.

Structure (CIF):
```
data_LaPr4Er3Te8
_chemical_formula_sum 'La3 Pr12 Er9 Te24'
_space_group_name_H-M_alt 'R -3 m'
_space_group_IT_number 166
_space_group_name_Hall '-R 3 2"'
_cell_length_a 8.8235
_cell_length_b 8.8235
_cell_length_c 22.3591
_cell_angle_alpha 90.00
_cell_angle_beta 90.00
_cell_angle_gamma 120.00
loop_
_atom_site_label
_atom_site_fract_x
_atom_site_fract_y
_atom_site_fract_z
La1 0.0000 0.0000 0.0000
Pr1 0.0000 0.0000 0.5000
Pr2 0.0000 0.5000 0.5000
Er1 0.0000 0.5000 0.0000
Te1 0.0000 0.0000 0.2562
Te2 0.0094 0.5047 0.2540
```

Results
The formation energy from raw total energies is -21.9 eV/f.u.


A relaxed structure of La2Pr3ErTe6, computed with GGA-PBE.

Structure (CIF):
```
data_La2Pr3ErTe6
_chemical_formula_sum 'La4 Pr6 Er2 Te12'
_space_group_name_H-M_alt 'C 1 2/m 1'
_space_group_IT_number 12
_cell_length_a 19.666
_cell_length_b 4.489
_cell_length_c 9.090
_cell_angle_alpha 90.00
_cell_angle_beta 103.21
_cell_angle_gamma 90.00
loop_
_space_group_symop_operation_xyz
'x,y,z'
'-x,-y,-z'
'-x,y,-z'
'x,-y,z'
'x+1/2,y+1/2,z'
'-x+1/2,-y+1/2,-z'
'-x+1/2,y+1/2,-z'
'x+1/2,-y+1/2,z'
loop_
_atom_site_label
_atom_site_fract_x
_atom_site_fract_y
_atom_site_fract_z
La1 0.167 0.000 0.335
Pr1 0.000 0.500 0.500
Pr2 0.172 0.000 0.836
Er1 0.000 0.500 0.000
Te1 0.003 0.000 0.764
Te2 0.160 0.500 0.079
Te3 0.166 0.500 0.585
```

Results
The formation energy from raw total energies is -17.5 eV/f.u.


A relaxed structure of La3Pr4ErTe8, computed with GGA-PBE.

Structure (CIF):
```
data_La3Pr4ErTe8
_chemical_formula_sum 'La6 Pr8 Er2 Te16'
_space_group_name_H-M_alt 'C 1 2/m 1'
_space_group_IT_number 12
_cell_length_a 15.675
_cell_length_b 9.063
_cell_length_c 9.046
_cell_angle_alpha 90.00
_cell_angle_beta 125.22
_cell_angle_gamma 90.00
loop_
_space_group_symop_operation_xyz
'x,y,z'
'-x,-y,-z'
'-x,y,-z'
'x,-y,z'
'x+1/2,y+1/2,z'
'-x+1/2,-y+1/2,-z'
'-x+1/2,y+1/2,-z'
'x+1/2,-y+1/2,z'
loop_
_atom_site_label
_atom_site_fract_x
_atom_site_fract_y
_atom_site_fract_z
La1 0.000 0.000 0.000
La2 0.250 0.250 0.000
Pr1 0.000 0.000 0.500
Pr2 0.000 0.500 0.500
Pr3 0.250 0.250 0.500
Er1 0.000 0.500 0.000
Te1 0.001 0.257 0.245
Te2 0.243 0.500 0.245
Te3 0.249 0.500 0.748
```

Results
The formation energy from raw total energies is -23.4 eV/f.u.


A relaxed structure of LaPr4Er2Th, computed with GGA-PBE.

Structure (CIF):
```
data_LaPr4Er2Th
_chemical_formula_sum 'La1 Pr4 Er2 Th1'
_space_group_name_H-M_alt 'P 1 2/m 1'
_space_group_IT_number 10
_cell_length_a 5.129
_cell_length_b 5.148
_cell_length_c 10.426
_cell_angle_alpha 90.00
_cell_angle_beta 90.04
_cell_angle_gamma 90.00
loop_
_space_group_symop_operation_xyz
'x,y,z'
'-x,-y,-z'
'-x,y,-z'
'x,-y,z'
loop_
_atom_site_label
_atom_site_fract_x
_atom_site_fract_y
_atom_site_fract_z
La1 0.000 0.000 0.000
Pr1 0.000 0.500 0.255
Pr2 0.500 0.000 0.256
Er1 0.000 0.000 0.500
Er2 0.500 0.500 0.000
Th1 0.500 0.500 0.500
```

Results
For the energy relative to the elements, the calculation gives 0.04 eV per atom.


A relaxed structure of LaPr6Er2Th, computed with GGA-PBE.

Structure (CIF):
```
data_LaPr6Er2Th
_chemical_formula_sum 'La4 Pr24 Er8 Th4'
_space_group_name_H-M_alt 'C 1 2/c 1'
_space_group_IT_number 15
_cell_length_a 9.462
_cell_length_b 15.184
_cell_length_c 9.899
_cell_angle_alpha 90.00
_cell_angle_beta 98.43
_cell_angle_gamma 90.00
loop_
_space_group_symop_operation_xyz
'x,y,z'
'-x,-y,-z'
'-x,y,-z+1/2'
'x,-y,z+1/2'
'x+1/2,y+1/2,z'
'-x+1/2,-y+1/2,-z'
'-x+1/2,y+1/2,-z+1/2'
'x+1/2,-y+1/2,z+1/2'
loop_
_atom_site_label
_atom_site_fract_x
_atom_site_fract_y
_atom_site_fract_z
La1 0.000 0.096 0.250
Pr1 0.067 0.329 0.442
Pr2 0.094 0.106 0.620
Pr3 0.203 0.281 0.816
Er1 0.240 0.455 0.051
Th1 0.000 0.468 0.750
```

Results
For the energy relative to the elements, the calculation gives 0.14 eV per atom.


A relaxed structure of La2PrErTh, computed with GGA-PBE.

Structure (CIF):
```
data_La2PrErTh
_chemical_formula_sum 'La4 Pr2 Er2 Th2'
_space_group_name_H-M_alt 'P 1 2/c 1'
_space_group_IT_number 13
_cell_length_a 9.227
_cell_length_b 6.387
_cell_length_c 6.591
_cell_angle_alpha 90.00
_cell_angle_beta 110.55
_cell_angle_gamma 90.00
loop_
_space_group_symop_operation_xyz
'x,y,z'
'-x,-y,-z'
'-x,y,-z+1/2'
'x,-y,z+1/2'
loop_
_atom_site_label
_atom_site_fract_x
_atom_site_fract_y
_atom_site_fract_z
La1 0.186 0.192 0.342
Pr1 0.000 0.337 0.750
Er1 0.500 0.001 0.750
Th1 0.500 0.500 0.000
```

Results
For the energy relative to the elements, the calculation gives 0.30 eV per atom.


A relaxed structure of La2Pr4ErTh, computed with GGA-PBE.

Structure (CIF):
```
data_La2Pr4ErTh
_chemical_formula_sum 'La2 Pr4 Er1 Th1'
_space_group_name_H-M_alt 'P 1 2/m 1'
_space_group_IT_number 10
_cell_length_a 6.153
_cell_length_b 6.173
_cell_length_c 7.363
_cell_angle_alpha 90.00
_cell_angle_beta 90.10
_cell_angle_gamma 90.00
loop_
_space_group_symop_operation_xyz
'x,y,z'
'-x,-y,-z'
'-x,y,-z'
'x,-y,z'
loop_
_atom_site_label
_atom_site_fract_x
_atom_site_fract_y
_atom_site_fract_z
La1 0.000 0.000 0.000
La2 0.500 0.500 0.500
Pr1 0.000 0.500 0.244
Pr2 0.500 0.000 0.243
Er1 0.000 0.000 0.500
Th1 0.500 0.500 0.000
```

Results
For the energy relative to the elements, the calculation gives 0.13 eV per atom.


A relaxed structure of LaPr3ErTh, computed with GGA-PBE.

Structure (CIF):
```
data_LaPr3ErTh
_chemical_formula_sum 'La2 Pr6 Er2 Th2'
_space_group_name_H-M_alt 'P 1 21/m 1'
_space_group_IT_number 11
_cell_length_a 8.214
_cell_length_b 5.182
_cell_length_c 10.311
_cell_angle_alpha 90.00
_cell_angle_beta 108.16
_cell_angle_gamma 90.00
loop_
_space_group_symop_operation_xyz
'x,y,z'
'-x,-y,-z'
'-x,y+1/2,-z'
'x,-y+1/2,z'
loop_
_atom_site_label
_atom_site_fract_x
_atom_site_fract_y
_atom_site_fract_z
La1 0.183 0.250 0.296
Pr1 0.175 0.250 0.794
Pr2 0.176 0.750 0.045
Pr3 0.182 0.750 0.546
Er1 0.498 0.750 0.872
Th1 0.500 0.250 0.622
```

Results
For the energy relative to the elements, the calculation gives 0.03 eV per atom.


A relaxed structure of LaPr2Er5Th, computed with GGA-PBE.

Structure (CIF):
```
data_LaPr2Er5Th
_chemical_formula_sum 'La4 Pr8 Er20 Th4'
_space_group_name_H-M_alt 'I 4/m c m'
_space_group_IT_number 140
_space_group_name_Hall '-I 4 2c'
_cell_length_a 8.695
_cell_length_b 8.695
_cell_length_c 15.604
_cell_angle_alpha 90.00
_cell_angle_beta 90.00
_cell_angle_gamma 90.00
loop_
_atom_site_label
_atom_site_fract_x
_atom_site_fract_y
_atom_site_fract_z
La1 0.000 0.500 0.250
Pr1 0.117 0.383 0.000
Er1 0.000 0.000 0.000
Er2 0.212 0.288 0.361
Th1 0.000 0.000 0.250
```

Results
For the energy relative to the elements, the calculation gives 0.28 eV per atom.


A relaxed structure of LaPrEr5Th2, computed with GGA-PBE.

Structure (CIF):
```
data_LaPrEr5Th2
_chemical_formula_sum 'La4 Pr4 Er20 Th8'
_space_group_name_H-M_alt 'I 4/m c m'
_space_group_IT_number 140
_space_group_name_Hall '-I 4 2c'
_cell_length_a 8.917
_cell_length_b 8.917
_cell_length_c 15.223
_cell_angle_alpha 90.00
_cell_angle_beta 90.00
_cell_angle_gamma 90.00
loop_
_atom_site_label
_atom_site_fract_x
_atom_site_fract_y
_atom_site_fract_z
La1 0.000 0.000 0.250
Pr1 0.000 0.500 0.250
Er1 0.000 0.000 0.000
Er2 0.205 0.295 0.135
Th1 0.119 0.381 0.500
```

Results
For the energy relative to the elements, the calculation gives 0.31 eV per atom.


A relaxed structure of LaPrErTh, computed with GGA-PBE.

Structure (CIF):
```
data_LaPrErTh
_chemical_formula_sum 'La1 Pr1 Er1 Th1'
_space_group_name_H-M_alt 'P 4 m m'
_space_group_IT_number 99
_cell_length_a 3.626
_cell_length_b 3.626
_cell_length_c 10.360
_cell_angle_alpha 90.00
_cell_angle_beta 90.00
_cell_angle_gamma 90.00
loop_
_space_group_symop_operation_xyz
'x,y,z'
'-y,x,z'
'-x,-y,z'
'y,-x,z'
'-x,y,z'
'y,x,z'
'x,-y,z'
'-y,-x,z'
loop_
_atom_site_label
_atom_site_fract_x
_atom_site_fract_y
_atom_site_fract_z
La1 0.000 0.000 0.000
Pr1 0.500 0.500 0.728
Er1 0.500 0.500 0.256
Th1 0.000 0.000 0.486
```

Results
For the energy relative to the elements, the calculation gives 0.03 eV per atom. Its distance to the lowest polymorph of the same formula is 0 meV per atom.


Magnetic moment for the records above, in order: 0.35 0.00 0.00 0.00 0.00 0.00 0.00 0.00 0.00 0.00 0.00 0.00 μB/f.u.